Record 1
GGA-PBE Pm3CoBr, optimized geometry; ΔE_f (raw) = -0.45 eV/atom; mass density = 6.47 g/cm3
1.0
3.764 0.000 0.000
0.000 9.625 0.000
0.000 0.000 8.126
Pm Co Br
6 2 2
direct
0.250 0.076 0.163 Pm
0.250 0.250 0.760 Pm
0.250 0.424 0.163 Pm
0.750 0.576 0.837 Pm
0.750 0.750 0.240 Pm
0.750 0.924 0.837 Pm
0.250 0.750 0.010 Co
0.750 0.250 0.990 Co
0.250 0.750 0.561 Br
0.750 0.250 0.439 Br

=====

Record 2
GGA-PBE TmTlPd, optimized geometry; energy of formation from the pure elements = -1.71 eV/f.u.; mass density = 12.06 g/cm3
1.0
4.975 0.000 0.000
-2.487 4.308 0.000
0.000 0.000 6.165
Tm Tl Pd
2 2 2
direct
0.333 0.667 0.250 Tm
0.667 0.333 0.750 Tm
0.000 0.000 0.000 Tl
0.000 0.000 0.500 Tl
0.333 0.667 0.750 Pd
0.667 0.333 0.250 Pd

=====

Record 3
GGA-PBE Li4AcSn6, optimized geometry; energy of formation from the pure elements = -3.16 eV/f.u.; mass density = 6.11 g/cm3
1.0
8.090 0.000 0.000
-4.045 7.006 0.000
0.000 0.000 4.636
Li Ac Sn
4 1 6
direct
0.000 0.000 0.000 Li
0.090 0.545 0.500 Li
0.455 0.545 0.500 Li
0.455 0.910 0.500 Li
0.667 0.333 0.000 Ac
0.201 0.401 0.000 Sn
0.201 0.799 0.000 Sn
0.276 0.138 0.500 Sn
0.599 0.799 0.000 Sn
0.862 0.138 0.500 Sn
0.862 0.724 0.500 Sn

=====

> Look up the mass density of the first one.

6.47 g/cm3